A plane-wave DFT calculation with PBE-GGA was carried out for a relaxed structure of TbPdAu.

Properties
Total magnetization = 0.00 μB per formula unit
Offset from the most stable computed form = 136 meV per atom
Energy relative to the elements = -0.71 eV per atom

Cell lengths 4.6296, 4.6296, 4.6296 Å; angles 60.00, 60.00, 60.00 degrees
Closest atoms and distances in Å follow each position.
Element x y z (fractional)
Tb: 0.5000 0.5000 0.5000  4 Pd 2.84
Au: 0.0000 0.0000 0.0000  4 Pd 2.84
Pd: 0.2500 0.2500 0.2500  4 Tb 2.84, 4 Au 2.84

A plane-wave DFT calculation with PBE-GGA was carried out for a relaxed structure of AcNdYEr.

Properties
Total magnetization = 0.00 μB per formula unit
Offset from the most stable computed form = 0 meV per atom
Energy relative to the elements = 0.06 eV per atom

Cell lengths 3.7037, 3.7020, 12.1690 Å; angles 90.00, 98.73, 119.99 degrees
Closest atoms and distances in Å follow each position.
Element x y z (fractional)
Ac: 0.9661 0.3810 0.3630  6 Ac 3.70, 3 Y 3.76, 3 Nd 3.86-3.87
Nd: 0.4791 0.1376 0.6317  3 Er 3.57, 6 Nd 3.70, 3 Ac 3.86-3.87
Y: 0.1291 0.9625 0.1049  3 Er 3.53-3.54, 6 Y 3.70, 3 Ac 3.76
Er: 0.3036 0.5498 0.8701  3 Y 3.53-3.54, 3 Nd 3.57, 6 Er 3.70

A plane-wave DFT calculation with PBE-GGA was carried out for a relaxed structure of Er3Tl3TcO8.

Properties
Total magnetization = 3.00 μB per formula unit
Formation energy (no corrections) = -2.171 eV/atom

Cell lengths 6.7446, 6.7447, 7.6242 Å; angles 116.26, 90.00, 120.00 degrees
Closest atoms and distances in Å follow each position.
Element x y z (fractional)
Er: 0.5000 0.0000 0.5000  6 O 2.23-2.29
Er: 0.5000 0.5000 0.5000  6 O 2.23-2.29
Er: 0.0000 0.5000 0.5000  6 O 2.23-2.29
Tl: 0.0000 0.0000 0.0000  6 O 2.90-2.93
Tl: 0.0000 0.5000 0.0000  6 O 2.90-2.93
Tl: 0.5000 0.5000 0.0000  6 O 2.90-2.93
Tc: 0.0000 0.0000 0.5000  6 O 2.10
O: 0.2778 0.5555 0.3334  3 Er 2.23
O: 0.7222 0.4445 0.6666  3 Er 2.23
O: 0.7910 0.5820 0.3369  1 Tc 2.10, 2 Er 2.29
O: 0.2090 0.4180 0.6631  1 Tc 2.10, 2 Er 2.29
O: 0.7910 0.0458 0.3368  1 Tc 2.10, 2 Er 2.29
O: 0.2090 0.9542 0.6632  1 Tc 2.10, 2 Er 2.29
O: 0.2548 0.0458 0.3368  1 Tc 2.10, 2 Er 2.29
O: 0.7452 0.9542 0.6632  1 Tc 2.10, 2 Er 2.29

A plane-wave DFT calculation with PBE-GGA was carried out for a relaxed structure of Si2PtRh.

Properties
Total magnetization = 0.00 μB per formula unit
Offset from the most stable computed form = 71 meV per atom
Formation energy (no corrections) = -0.615 eV/atom

Cell lengths 4.4690, 3.0589, 4.1549 Å; angles 90.02, 90.00, 90.00 degrees
Closest atoms and distances in Å follow each position.
Element x y z (fractional)
Pt: 0.0000 0.3751 0.4831  6 Si 2.47-2.68
Rh: 0.5000 0.8747 0.7724  6 Si 2.44-2.72
Si: 0.0000 0.8750 0.0132  2 Rh 2.45, 4 Pt 2.48-2.68
Si: 0.5000 0.3751 0.2313  4 Rh 2.44-2.72, 2 Pt 2.47

A plane-wave DFT calculation with PBE-GGA was carried out for a relaxed structure of CaDyY2Au4.

Properties
Total magnetization = 0.00 μB per formula unit
Energy relative to the elements = -0.85 eV per atom

Cell lengths 5.0904, 5.0904, 8.8799 Å; angles 73.34, 73.34, 60.00 degrees
Closest atoms and distances in Å follow each position.
Element x y z (fractional)
Ca: 0.0000 0.0000 0.0000  8 Au 3.15-3.27
Dy: 0.5000 0.5000 0.5000  8 Au 3.04-3.08
Y: 0.7482 0.7482 0.7554  8 Au 3.06-3.19
Y: 0.2518 0.2518 0.2446  8 Au 3.06-3.19
Au: 0.3789 0.3789 0.8634  1 Dy 3.04, 4 Y 3.07-3.19, 3 Ca 3.15
Au: 0.8699 0.8699 0.3903  4 Y 3.06-3.18, 3 Dy 3.08, 1 Ca 3.27
Au: 0.1301 0.1301 0.6097  4 Y 3.06-3.18, 3 Dy 3.08, 1 Ca 3.27
Au: 0.6211 0.6211 0.1366  1 Dy 3.04, 4 Y 3.07-3.19, 3 Ca 3.15

A plane-wave DFT calculation with PBE-GGA was carried out for a relaxed structure of Tb7Pm16Er6.

Properties
Total magnetization = 0.01 μB per formula unit
Energy relative to the elements = 0.22 eV per atom

Cell lengths 11.2567, 11.2567, 11.2567 Å; angles 60.00, 60.00, 60.00 degrees
Closest atoms and distances in Å follow each position.
Element x y z (fractional)
Tb: 0.0000 0.0000 0.0000  8 Pm 3.44
Tb: 0.5000 0.0000 0.5000  8 Pm 3.28-3.45
Tb: 0.0000 0.5000 0.0000  8 Pm 3.28-3.45
Tb: 0.0000 0.5000 0.5000  8 Pm 3.28-3.45
Tb: 0.5000 0.0000 0.0000  8 Pm 3.28-3.45
Tb: 0.0000 0.0000 0.5000  8 Pm 3.28-3.45
Tb: 0.5000 0.5000 0.0000  8 Pm 3.28-3.45
Pm: 0.8753 0.8753 0.3742  4 Tb 3.44-3.45, 3 Er 3.60, 3 Pm 3.63
Pm: 0.8753 0.8753 0.8753  4 Tb 3.44-3.45, 3 Er 3.60, 3 Pm 3.63
Pm: 0.8753 0.3742 0.8753  4 Tb 3.44-3.45, 3 Er 3.60, 3 Pm 3.63
Pm: 0.3742 0.8753 0.8753  4 Tb 3.44-3.45, 3 Er 3.60, 3 Pm 3.63
Pm: 0.1247 0.1247 0.1247  4 Tb 3.44-3.45, 3 Er 3.60, 3 Pm 3.63
Pm: 0.1247 0.1247 0.6258  4 Tb 3.44-3.45, 3 Er 3.60, 3 Pm 3.63
Pm: 0.1247 0.6258 0.1247  4 Tb 3.44-3.45, 3 Er 3.60, 3 Pm 3.63
Pm: 0.6258 0.1247 0.1247  4 Tb 3.44-3.45, 3 Er 3.60, 3 Pm 3.63
Pm: 0.6497 0.6497 0.0509  3 Tb 3.28, 3 Er 3.63, 3 Pm 3.63
Pm: 0.6497 0.6497 0.6497  3 Tb 3.28, 3 Er 3.63, 3 Pm 3.63
Pm: 0.6497 0.0509 0.6497  3 Tb 3.28, 3 Er 3.63, 3 Pm 3.63
Pm: 0.0509 0.6497 0.6497  3 Tb 3.28, 3 Er 3.63, 3 Pm 3.63
Pm: 0.3503 0.3503 0.3503  3 Tb 3.28, 3 Er 3.63, 3 Pm 3.63
Pm: 0.3503 0.3503 0.9491  3 Tb 3.28, 3 Er 3.63, 3 Pm 3.63
Pm: 0.3503 0.9491 0.3503  3 Tb 3.28, 3 Er 3.63, 3 Pm 3.63
Pm: 0.9491 0.3503 0.3503  3 Tb 3.28, 3 Er 3.63, 3 Pm 3.63
Er: 0.2658 0.7342 0.2658  8 Pm 3.60-3.63, 4 Tb 3.99
Er: 0.7342 0.2658 0.7342  8 Pm 3.60-3.63, 4 Tb 3.99
Er: 0.7342 0.2658 0.2658  8 Pm 3.60-3.63, 4 Tb 3.99
Er: 0.2658 0.7342 0.7342  8 Pm 3.60-3.63, 4 Tb 3.99
Er: 0.7342 0.7342 0.2658  8 Pm 3.60-3.63, 4 Tb 3.99
Er: 0.2658 0.2658 0.7342  8 Pm 3.60-3.63, 4 Tb 3.99

A plane-wave DFT calculation with PBE-GGA was carried out for a relaxed structure of SrTaN3.

Properties
Total magnetization = 0.28 μB per formula unit
Formation energy (no corrections) = 2.404 eV/atom

Cell lengths 4.1638, 4.1638, 4.1638 Å; angles 90.00, 90.00, 90.00 degrees
Closest atoms and distances in Å follow each position.
Element x y z (fractional)
Sr: 0.0000 0.0000 0.0000  6 N 2.08
N: 0.0000 0.5000 0.0000  2 Sr 2.08
N: 0.0000 0.0000 0.5000  2 Sr 2.08
N: 0.5000 0.0000 0.0000  2 Sr 2.08
Ta: 0.5000 0.5000 0.5000  12 N 2.94

A plane-wave DFT calculation with PBE-GGA was carried out for a relaxed structure of SrPb.

Properties
Total magnetization = 0.00 μB per formula unit
Energy relative to the elements = -0.33 eV per atom

Cell lengths 6.8508, 6.8508, 8.0246 Å; angles 70.85, 70.85, 38.58 degrees
Closest atoms and distances in Å follow each position.
Element x y z (fractional)
Sr: 0.9693 0.9693 0.0724  7 Pb 3.64-3.92, 4 Sr 3.73-4.00
Sr: 0.9954 0.9954 0.5207  7 Pb 3.49-3.78, 1 Sr 3.73
Sr: 0.2799 0.2799 0.8838  5 Pb 3.44-3.66, 1 Sr 3.77
Pb: 0.2892 0.2892 0.4222  4 Pb 3.39-3.44, 6 Sr 3.60-3.78
Pb: 0.6300 0.6300 0.7132  2 Pb 3.39, 6 Sr 3.52-3.69
Pb: 0.6696 0.6696 0.2211  5 Sr 3.44-3.64, 3 Pb 3.44-3.80